This record from the Alexandria database describes NbCr2Re at its PBEsol-relaxed geometry. The functional is SCAN.

Cell lengths 4.2508, 4.2508, 4.2508 Å; angles 60.00, 60.00, 60.00 degrees
Closest atoms and distances in Å follow each position.
Fractional positions:
Re  0.5000  0.5000  0.5000  8 Cr 2.60
Nb  0.0000  0.0000  0.0000  8 Cr 2.60
Cr  0.2500  0.2500  0.2500  4 Re 2.60, 4 Nb 2.60
Cr  0.7500  0.7500  0.7500  4 Nb 2.60, 4 Re 2.60

Results
**ρ**: 11.7 g/cm3
**Space group**: Fm-3m, No. 225
**Calculated volume**: 54.3 Å³/cell
**Formation enthalpy at 0 K**: -87 meV per atom